Sr2SnPb: relaxed, PBE.

Lattice parameters (Å, degrees): 6.6360 4.6359 9.7810 90.00 106.05 90.00
Closest atoms and distances in Å follow each position.
Fractional coordinates of all 8 atoms:
1 Sr 0.1947 0.2500 0.4294  4 Pb 3.45-3.66, 3 Sn 3.48-3.66
2 Sr 0.2919 0.7500 0.0644  4 Sn 3.48-3.69, 3 Pb 3.53-3.69
3 Sr 0.7081 0.2500 0.9356  4 Sn 3.48-3.69, 3 Pb 3.53-3.69
4 Sr 0.8053 0.7500 0.5706  4 Pb 3.45-3.66, 3 Sn 3.48-3.66
5 Sn 0.1316 0.2500 0.7900  2 Pb 3.07
6 Sn 0.8684 0.7500 0.2100  2 Pb 3.07
7 Pb 0.3780 0.7500 0.7072  2 Sn 3.07
8 Pb 0.6220 0.2500 0.2928  2 Sn 3.07

Properties
Calculated total energy in eV/atom: -3.381
Density in g cm⁻³: 5.8

=====

SrSnPb4: relaxed, PBE.

Lattice parameters (Å, degrees): 6.5604 6.5604 6.5604 60.00 60.00 60.00
Closest atoms and distances in Å follow each position.
Fractional coordinates of all 6 atoms:
1 Sr 0.0000 0.0000 0.0000  12 Pb 3.85, 4 Sn 4.02
2 Sn 0.2500 0.2500 0.2500  12 Pb 3.85, 4 Sr 4.02
3 Pb 0.1258 0.6247 0.6247  6 Pb 3.27-3.29
4 Pb 0.6247 0.1258 0.6247  6 Pb 3.27-3.29
5 Pb 0.6247 0.6247 0.1258  6 Pb 3.27-3.29
6 Pb 0.6247 0.6247 0.6247  6 Pb 3.27-3.29

Properties
Calculated total energy in eV/atom: -3.553
Density in g cm⁻³: 8.6

=====

Sr2SnPb2: relaxed, PBE.

Lattice parameters (Å, degrees): 8.2541 8.2541 5.0533 90.00 90.00 90.00
Closest atoms and distances in Å follow each position.
Fractional coordinates of all 10 atoms:
1 Sr 0.1717 0.3283 0.0000  6 Pb 3.40-3.58
2 Sr 0.3283 0.8283 0.0000  6 Pb 3.40-3.58
3 Sr 0.6717 0.1717 0.0000  6 Pb 3.40-3.58
4 Sr 0.8283 0.6717 0.0000  6 Pb 3.40-3.58
5 Sn 0.0000 0.0000 0.5000  4 Pb 3.22
6 Sn 0.5000 0.5000 0.5000  4 Pb 3.22
7 Pb 0.1332 0.6332 0.5000  1 Pb 3.11, 2 Sn 3.22, 2 Sr 3.40
8 Pb 0.3668 0.1332 0.5000  1 Pb 3.11, 2 Sn 3.22, 2 Sr 3.40
9 Pb 0.6332 0.8668 0.5000  1 Pb 3.11, 2 Sn 3.22, 2 Sr 3.40
10 Pb 0.8668 0.3668 0.5000  1 Pb 3.11, 2 Sn 3.22, 2 Sr 3.40

Properties
Calculated total energy in eV/atom: -3.423
Density in g cm⁻³: 6.8

=====

Look up the calculated total energy of the second one. -3.553 eV/atom